1.
DFT (PBE-GGA) results for a relaxed structure of TlCoRu2.

Theoretical density   12.4 g/cm³
ΔH_f (0 K)   0.6701 eV per atom
Excess energy over the best structure of this formula in the dataset   0.221 eV/atom
Crystal system   orthorhombic

Unit cell a=3.1449 b=4.4176 c=4.5029 alpha=90.00 beta=90.00 gamma=90.00
Closest atoms and distances in Å follow each position.
Space group Pmmm (No. 47)
Symmetry-distinct sites (fractional):
Tl1 0.0000 0.0000 0.0000 (multiplicity 1)  4 Ru 2.71, 4 Co 2.75
Co1 0.5000 0.0000 0.5000 (multiplicity 1)  4 Ru 2.71, 4 Tl 2.75
Ru1 0.0000 0.5000 0.5000 (multiplicity 1)  4 Co 2.71, 4 Ru 2.75
Ru2 0.5000 0.5000 0.0000 (multiplicity 1)  4 Tl 2.71, 4 Ru 2.75



2.
DFT (PBE-GGA) results for a relaxed structure of TlCoRu.

Theoretical density   10.5 g/cm³
ΔH_f (0 K)   0.4282 eV per atom
Excess energy over the best structure of this formula in the dataset   0.046 eV/atom
Crystal system   triclinic

Unit cell a=3.5676 b=3.6778 c=9.1475 alpha=78.55 beta=78.80 gamma=89.98
Closest atoms and distances in Å follow each position.
Space group P-1 (No. 2)
Symmetry-distinct sites (fractional):
Tl1 0.1752 0.4228 0.1496 (multiplicity 2)  2 Ru 2.87, 2 Co 2.91, 2 Tl 3.18
Co1 0.4556 0.7060 0.5891 (multiplicity 2)  2 Co 2.41, 6 Ru 2.44-2.56
Ru1 0.0498 0.7993 0.3998 (multiplicity 2)  6 Co 2.44-2.56, 2 Ru 2.54-2.55



3.
DFT (PBE-GGA) results for a relaxed structure of TlCoRu2.

Theoretical density   11.6 g/cm³
ΔH_f (0 K)   0.8493 eV per atom
Excess energy over the best structure of this formula in the dataset   0.400 eV/atom
Crystal system   tetragonal

Unit cell a=7.2022 b=7.2022 c=5.1320 alpha=90.00 beta=90.00 gamma=90.00
Closest atoms and distances in Å follow each position.
Space group I-42d (No. 122)
Symmetry-distinct sites (fractional):
Tl1 0.0000 0.0000 0.0000 (multiplicity 4)  2 Co 2.57
Co1 0.0000 0.0000 0.5000 (multiplicity 4)  4 Ru 2.37, 2 Tl 2.57
Ru1 0.1940 0.7500 0.6250 (multiplicity 8)  2 Co 2.37



4.
DFT (PBE-GGA) results for a relaxed structure of TlCoRu4.

Theoretical density   11.5 g/cm³
ΔH_f (0 K)   0.7570 eV per atom
Crystal system   cubic

Unit cell a=7.2879 b=7.2879 c=7.2879 alpha=90.00 beta=90.00 gamma=90.00
Closest atoms and distances in Å follow each position.
Space group F-43m (No. 216)
Symmetry-distinct sites (fractional):
Tl1 0.0000 0.0000 0.0000 (multiplicity 4)  12 Ru 3.02, 4 Co 3.16
Co1 0.2500 0.2500 0.7500 (multiplicity 4)  12 Ru 3.02, 4 Tl 3.16
Ru1 0.1247 0.1247 0.3753 (multiplicity 16)  6 Ru 2.57-2.58



5.
DFT (PBE-GGA) results for a relaxed structure of TlCoRu2.

Theoretical density   12.6 g/cm³
ΔH_f (0 K)   0.4488 eV per atom
Excess energy over the best structure of this formula in the dataset   0.000 eV/atom
Crystal system   tetragonal

Unit cell a=2.8660 b=2.8660 c=7.4499 alpha=90.00 beta=90.00 gamma=90.00
Closest atoms and distances in Å follow each position.
Space group P4mm (No. 99)
Symmetry-distinct sites (fractional):
Tl1 0.0000 0.0000 0.0000 (multiplicity 1)  4 Co 2.84, 4 Tl 2.87, 4 Ru 2.97
Co1 0.5000 0.5000 0.2665 (multiplicity 1)  4 Ru 2.59, 4 Tl 2.84, 4 Co 2.87
Ru1 0.0000 0.0000 0.4821 (multiplicity 1)  4 Co 2.59, 8 Ru 2.64-2.87
Ru2 0.5000 0.5000 0.7085 (multiplicity 1)  8 Ru 2.64-2.87



6.
DFT (PBE-GGA) results for a relaxed structure of TlCo3Ru.

Theoretical density   8.6 g/cm³
ΔH_f (0 K)   1.2907 eV per atom
Excess energy over the best structure of this formula in the dataset   0.000 eV/atom
Crystal system   cubic

Unit cell a=4.5315 b=4.5315 c=4.5315 alpha=90.00 beta=90.00 gamma=90.00
Closest atoms and distances in Å follow each position.
Space group Pm-3m (No. 221)
Symmetry-distinct sites (fractional):
Tl1 0.0000 0.0000 0.0000 (multiplicity 1)  12 Co 3.20
Co1 0.0000 0.5000 0.5000 (multiplicity 3)  2 Ru 2.27
Ru1 0.5000 0.5000 0.5000 (multiplicity 1)  6 Co 2.27